Below is an optimized crystal structure of TaTlAgTeS2, with properties calculated at the PBE level.

Lattice parameters (Å, degrees): 8.238 8.238 10.621 90.00 90.00 155.16
Element x y z (fractional)
Tl 0.764 0.236 0.250
Ta 0.000 0.000 0.500
S 0.392 0.608 0.469
Ta 0.000 0.000 0.000
Ag 0.440 0.560 0.250
S 0.608 0.392 0.969
Tl 0.236 0.764 0.750
Te 0.081 0.919 0.250
Te 0.919 0.081 0.750
S 0.392 0.608 0.031
Ag 0.560 0.440 0.750
S 0.608 0.392 0.531

Output
* crystal system: orthorhombic
* total energy: -61.3 eV for the cell shown